Below is a relaxed LiTb2Ni4P3 crystal, with properties calculated at the GGA-PBE level.

Structure (POSCAR):
```
LiTb2Ni4P3
1.0
-3.883 -0.167 0.503
-0.332 -2.138 -3.268
0.978 -7.760 4.977
Li Tb Ni P
1 2 4 3
Cartesian
-1.618 -5.032 1.106
-1.702 -1.987 1.472
0.572 -6.926 2.123
-2.108 -1.152 -1.382
0.000 0.000 0.000
-1.330 -4.934 3.363
0.201 -3.979 0.232
0.489 -3.880 2.489
-1.096 -6.793 4.556
-0.034 -2.119 -0.961
```

Summary:
The formation energy comes out at -938 meV/atom. The calculation puts the magnetic moment at 0.00 μB per formula unit.


Below is a relaxed GdHoTlAg crystal, with properties calculated at the GGA-PBE level.

Structure (POSCAR):
```
GdHoTlAg
1.0
-0.908 -2.987 4.251
-1.536 -5.013 -0.578
3.303 -3.927 1.218
Tl Gd Ho Ag
1 1 1 1
Cartesian
0.000 0.000 0.000
0.215 -2.982 1.223
0.645 -8.945 3.669
0.430 -5.963 2.446
```

Summary:
The formation energy comes out at -341 meV/atom. The calculation puts the magnetic moment at 7.50 μB per formula unit.


Below is a relaxed Nd5Au crystal, with properties calculated at the GGA-PBE level.

Structure (POSCAR):
```
Nd5Au
1.0
-1.899 -3.191 3.362
4.078 0.178 2.473
-4.815 5.929 2.908
Nd Au
5 1
Cartesian
-0.755 2.492 5.671
1.157 2.002 2.554
1.089 -1.507 2.917
-1.893 4.105 2.827
-1.881 0.424 3.072
0.000 0.000 0.000
```

Summary:
The formation energy comes out at -120 meV/atom. The calculation puts the magnetic moment at 0.00 μB per formula unit.


Below is a relaxed ScFeAs3 crystal, with properties calculated at the GGA-PBE level.

Structure (POSCAR):
```
ScFeAs3
1.0
5.033 0.000 0.000
0.000 5.033 0.000
0.000 0.000 5.033
Sc As Fe
1 3 1
Cartesian
0.000 0.000 0.000
0.000 2.517 0.000
0.000 0.000 2.517
2.517 0.000 0.000
2.517 2.517 2.517
```

Summary:
The formation energy comes out at 707 meV/atom. The calculation puts the magnetic moment at 3.38 μB per formula unit. As for the energy above the lowest structure with this stoichiometry: 638 meV/atom.